First-principles (PBE) data for crystalline CdSe3Br at its relaxed geometry, as listed in Alexandria.

Cell: 5.2675 5.2675 5.2675 Å, 90.00 90.00 90.00°
Closest atoms and distances in Å follow each position.
Space group Pm-3m (No. 221)
Unique sites:
Cd 0.0000 0.0000 0.0000  6 Se 2.63
Se 0.0000 0.0000 0.5000  2 Cd 2.63
Br 0.5000 0.5000 0.5000  12 Se 3.72

As for the crystal system: cubic. As for the volume: 146.2 Å³/f.u. The calculation puts the calculated total energy at -1.9434 eV per atom.



First-principles (PBE) data for crystalline CdSeBr2 at its relaxed geometry, as listed in Alexandria.

Cell: 9.8543 9.8543 5.6670 Å, 90.00 90.00 90.00°
Closest atoms and distances in Å follow each position.
Space group I-42d (No. 122)
Unique sites:
Cd 0.0000 0.0000 0.0000  4 Br 2.79, 2 Se 2.83
Se 0.0000 0.0000 0.5000  2 Cd 2.83
Br 0.1119 0.7500 0.1250  2 Cd 2.79

As for the crystal system: tetragonal. As for the volume: 137.6 Å³/f.u. The calculation puts the calculated total energy at -1.9979 eV per atom.



First-principles (PBE) data for crystalline CdSeBr2 at its relaxed geometry, as listed in Alexandria.

Cell: 4.0622 5.7080 11.1770 Å, 90.00 90.00 90.00°
Closest atoms and distances in Å follow each position.
Space group Cmmm (No. 65)
Unique sites:
Cd 0.0000 0.0000 0.0000  4 Br 2.72
Se 0.0000 0.0000 0.5000  4 Se 3.50
Br 0.0000 0.5000 0.1625  2 Cd 2.72

As for the crystal system: orthorhombic. As for the volume: 129.6 Å³/f.u. The calculation puts the calculated total energy at -1.9300 eV per atom.



First-principles (PBE) data for crystalline CdSeBr2 at its relaxed geometry, as listed in Alexandria.

Cell: 3.7933 8.5995 9.1978 Å, 90.00 90.00 90.00°
Closest atoms and distances in Å follow each position.
Space group Cmm2 (No. 35)
Unique sites:
Cd 0.0000 0.0000 0.0000  2 Br 2.66, 2 Se 2.70
Se 0.0000 0.5000 0.7906  2 Br 2.70, 2 Cd 2.70
Br 0.0000 0.0000 0.5818  2 Se 2.70
Br 0.0000 0.5000 0.2030  2 Cd 2.66

As for the crystal system: orthorhombic. As for the volume: 150.0 Å³/f.u. The calculation puts the calculated total energy at -2.0882 eV per atom.



First-principles (PBE) data for crystalline CdSe4Br at its relaxed geometry, as listed in Alexandria.

Cell: 8.2131 8.2131 8.2131 Å, 90.00 90.00 90.00°
Closest atoms and distances in Å follow each position.
Space group F-43m (No. 216)
Unique sites:
Cd 0.0000 0.0000 0.0000  12 Se 3.41, 4 Br 3.56
Se 0.1241 0.1241 0.6241  6 Se 2.88-2.93
Br 0.2500 0.2500 0.2500  12 Se 3.40, 4 Cd 3.56

As for the crystal system: cubic. As for the volume: 138.5 Å³/f.u. The calculation puts the calculated total energy at -2.3684 eV per atom.



First-principles (PBE) data for crystalline CdSeBr2 at its relaxed geometry, as listed in Alexandria.

Cell: 3.9550 3.9550 30.8187 Å, 90.00 90.00 120.00°
Closest atoms and distances in Å follow each position.
Space group R-3m (No. 166, hexagonal axes)
Unique sites:
Cd 0.0000 0.0000 0.0000  6 Br 2.80
Se 0.0000 0.0000 0.5000  2 Br 3.51
Br 0.0000 0.0000 0.3862  3 Cd 2.80

As for the crystal system: trigonal. As for the volume: 139.2 Å³/f.u. The calculation puts the calculated total energy at -2.0569 eV per atom.



First-principles (PBE) data for crystalline Cd2SeBr at its relaxed geometry, as listed in Alexandria.

Cell: 7.2761 4.2411 7.2551 Å, 90.00 109.06 90.00°
Closest atoms and distances in Å follow each position.
Space group C2/m (No. 12)
Unique sites:
Cd 0.2366 0.0000 0.2169  3 Se 2.85-2.86, 3 Br 3.08-3.13
Se 0.0000 0.5000 0.0000  6 Cd 2.85-2.86
Br 0.0000 0.0000 0.5000  6 Cd 3.08-3.13

As for the crystal system: monoclinic. As for the volume: 105.8 Å³/f.u. The calculation puts the calculated total energy at -2.1870 eV per atom.



First-principles (PBE) data for crystalline CdSeBr2 at its relaxed geometry, as listed in Alexandria.

Cell: 4.0751 4.0751 25.7618 Å, 90.00 90.00 120.00°
Closest atoms and distances in Å follow each position.
Space group R3m (No. 160, hexagonal axes)
Unique sites:
Cd 0.0000 0.0000 0.0000  3 Br 2.84, 3 Se 2.84
Se 0.0000 0.0000 0.2715  3 Cd 2.84, 3 Br 3.03
Br 0.0000 0.0000 0.5307  3 Se 3.03
Br 0.0000 0.0000 0.7284  3 Cd 2.84

As for the crystal system: trigonal. As for the volume: 123.5 Å³/f.u. The calculation puts the calculated total energy at -2.0719 eV per atom.



First-principles (PBE) data for crystalline CdSeBr2 at its relaxed geometry, as listed in Alexandria.

Cell: 3.9350 3.9350 31.2358 Å, 90.00 90.00 120.00°
Closest atoms and distances in Å follow each position.
Space group R-3m (No. 166, hexagonal axes)
Unique sites:
Cd 0.0000 0.0000 0.0000  6 Br 2.80
Se 0.0000 0.0000 0.5000  6 Se 3.94, 6 Br 4.23
Br 0.0000 0.0000 0.2809  3 Cd 2.80

As for the crystal system: trigonal. As for the volume: 139.6 Å³/f.u. The calculation puts the calculated total energy at -2.0562 eV per atom.



First-principles (PBE) data for crystalline CdSeBr2 at its relaxed geometry, as listed in Alexandria.

Cell: 3.7838 4.2815 6.6108 Å, 90.00 90.00 90.00°
Closest atoms and distances in Å follow each position.
Space group Pmmm (No. 47)
Unique sites:
Cd 0.0000 0.0000 0.0000  4 Br 2.86
Se 0.5000 0.0000 0.5000  4 Br 2.86
Br 0.0000 0.5000 0.5000  4 Se 2.86
Br 0.5000 0.5000 0.0000  4 Cd 2.86

As for the crystal system: orthorhombic. As for the volume: 107.1 Å³/f.u. The calculation puts the calculated total energy at -1.9759 eV per atom.



First-principles (PBE) data for crystalline CdSeBr2 at its relaxed geometry, as listed in Alexandria.

Cell: 4.0236 4.0236 13.6360 Å, 90.00 90.00 90.00°
Closest atoms and distances in Å follow each position.
Space group I-4m2 (No. 119)
Unique sites:
Cd 0.0000 0.0000 0.0000  4 Br 2.85
Se 0.0000 0.5000 0.7500  4 Br 2.85
Br 0.0000 0.0000 0.5000  4 Cd 2.85
Br 0.0000 0.5000 0.2500  4 Se 2.85

As for the crystal system: tetragonal. As for the volume: 110.4 Å³/f.u. The calculation puts the calculated total energy at -1.9689 eV per atom.



First-principles (PBE) data for crystalline CdSeBr2 at its relaxed geometry, as listed in Alexandria.

Cell: 4.9487 4.4852 6.5633 Å, 90.00 109.73 90.00°
Closest atoms and distances in Å follow each position.
Space group Pm (No. 6)
Unique sites:
Cd 0.0000 0.0000 0.0000  2 Se 2.70, 2 Br 2.76-2.77
Se 0.1212 0.5000 0.2445  1 Br 2.43, 2 Cd 2.70
Br 0.4119 0.0000 0.8013  2 Cd 2.76-2.77
Br 0.7101 0.5000 0.3666  1 Se 2.43

As for the crystal system: monoclinic. As for the volume: 137.1 Å³/f.u. The calculation puts the calculated total energy at -2.3462 eV per atom.



First-principles (PBE) data for crystalline CdSeBr2 at its relaxed geometry, as listed in Alexandria.

Cell: 3.5575 6.9020 9.1150 Å, 90.00 90.00 90.00°
Closest atoms and distances in Å follow each position.
Space group Immm (No. 71)
Unique sites:
Cd 0.0000 0.0000 0.0000  4 Br 2.72
Se 0.0000 0.0000 0.5000  4 Br 3.06
Br 0.0000 0.5000 0.2736  2 Cd 2.72

As for the crystal system: orthorhombic. As for the volume: 111.9 Å³/f.u. The calculation puts the calculated total energy at -1.9239 eV per atom.



First-principles (PBE) data for crystalline CdSe3Br at its relaxed geometry, as listed in Alexandria.

Cell: 5.2044 5.2044 5.2044 Å, 90.00 90.00 90.00°
Closest atoms and distances in Å follow each position.
Space group Pm-3m (No. 221)
Unique sites:
Cd 0.0000 0.0000 0.0000  12 Se 3.68
Se 0.0000 0.5000 0.5000  2 Br 2.60
Br 0.5000 0.5000 0.5000  6 Se 2.60

As for the crystal system: cubic. As for the volume: 141.0 Å³/f.u. The calculation puts the calculated total energy at -1.8847 eV per atom.